DFT (GGA-PBE) results for Sb2PbF8 after structural relaxation.

final energy = -4.76 eV per atom
formation energy from raw total energies = -25.5 eV/f.u.

Cell lengths 4.996, 6.638, 6.638 Å; angles 70.20, 100.38, 100.38 degrees
Sites, in units of the cell vectors:
Sb 0.469 0.698 0.698
Sb 0.531 0.302 0.302
Pb 0.000 0.000 0.000
F 0.269 0.366 0.015
F 0.731 0.985 0.634
F 0.334 0.872 0.872
F 0.666 0.128 0.128
F 0.269 0.015 0.366
F 0.731 0.634 0.985
F 0.766 0.597 0.597
F 0.234 0.403 0.403